1.
This record from the Alexandria database describes an optimized crystal structure of V3InMo. The functional is GGA-PBE.

Cell: 4.589 4.589 4.589 Å, 90.00 90.00 90.00°
Space group Pm-3m (No. 221)
One atom of each set of equivalent atoms:
V 0.000 0.000 0.500 [3 per cell]
In 0.500 0.500 0.500 [1 per cell]
Mo 0.000 0.000 0.000 [1 per cell]

Energy relative to the lowest polymorph listed for this composition in meV per atom: 0
Calculated formation energy in eV per atom: 1.07

---

2.
This record from the Alexandria database describes an optimized crystal structure of V4InMo. The functional is GGA-PBE.

Cell: 4.8610 4.8610 13.4838 Å, 90.00 90.00 120.00°
Space group R3m (No. 160, hexagonal axes)
One atom of each set of equivalent atoms:
V 0.0000 0.0000 0.0000 [3 per cell]
V 0.1669 0.3339 0.4553 [9 per cell]
In 0.0000 0.0000 0.6223 [3 per cell]
Mo 0.0000 0.0000 0.2405 [3 per cell]

Calculated formation energy in eV per atom: 0.27

---

3.
This record from the Alexandria database describes an optimized crystal structure of VIn3Mo. The functional is GGA-PBE.

Cell: 5.231 5.231 5.231 Å, 90.00 90.00 90.00°
Space group Pm-3m (No. 221)
One atom of each set of equivalent atoms:
V 0.000 0.000 0.000 [1 per cell]
In 0.000 0.500 0.500 [3 per cell]
Mo 0.500 0.500 0.500 [1 per cell]

Energy relative to the lowest polymorph listed for this composition in meV per atom: 0
Calculated formation energy in eV per atom: 1.03

---

4.
This record from the Alexandria database describes an optimized crystal structure of VIn2Mo. The functional is GGA-PBE.

Cell: 7.468 7.468 5.651 Å, 90.00 90.00 90.00°
Space group I-42d (No. 122)
One atom of each set of equivalent atoms:
V 0.000 0.000 0.000 [4 per cell]
In 0.243 0.250 0.125 [8 per cell]
Mo 0.000 0.000 0.500 [4 per cell]

Energy relative to the lowest polymorph listed for this composition in meV per atom: 390
Calculated formation energy in eV per atom: 0.81

---

5.
This record from the Alexandria database describes an optimized crystal structure of VIn2Mo. The functional is GGA-PBE.

Cell: 6.663 6.663 6.663 Å, 90.00 90.00 90.00°
Space group Fm-3m (No. 225)
One atom of each set of equivalent atoms:
V 0.000 0.000 0.000 [4 per cell]
In 0.250 0.250 0.250 [8 per cell]
Mo 0.000 0.000 0.500 [4 per cell]

Energy relative to the lowest polymorph listed for this composition in meV per atom: 0
Calculated formation energy in eV per atom: 0.42

---

6.
This record from the Alexandria database describes an optimized crystal structure of VInMo3. The functional is GGA-PBE.

Cell: 4.572 4.572 4.572 Å, 90.00 90.00 90.00°
Space group Pm-3m (No. 221)
One atom of each set of equivalent atoms:
V 0.000 0.000 0.000 [1 per cell]
In 0.500 0.500 0.500 [1 per cell]
Mo 0.000 0.000 0.500 [3 per cell]

Energy relative to the lowest polymorph listed for this composition in meV per atom: 0
Calculated formation energy in eV per atom: 1.12

---

7.
This record from the Alexandria database describes an optimized crystal structure of YV2InMo. The functional is GGA-PBE.

Cell: 4.678 4.678 4.885 Å, 90.00 90.00 90.00°
Space group P4/mmm (No. 123)
One atom of each set of equivalent atoms:
Y 0.000 0.000 0.000 [1 per cell]
V 0.000 0.500 0.000 [2 per cell]
In 0.500 0.500 0.500 [1 per cell]
Mo 0.000 0.000 0.500 [1 per cell]

Calculated formation energy in eV per atom: 1.95

---

8.
This record from the Alexandria database describes an optimized crystal structure of InMo2W. The functional is GGA-PBE.

Cell: 3.294 4.592 9.020 Å, 90.00 90.00 90.00°
Space group Immm (No. 71)
One atom of each set of equivalent atoms:
In 0.000 0.000 0.000 [2 per cell]
Mo 0.000 0.500 0.235 [4 per cell]
W 0.000 0.000 0.500 [2 per cell]

Calculated formation energy in eV per atom: 0.33

---

9.
This record from the Alexandria database describes an optimized crystal structure of InMoW3. The functional is GGA-PBE.

Cell: 4.772 4.772 4.772 Å, 90.00 90.00 90.00°
Space group Pm-3m (No. 221)
One atom of each set of equivalent atoms:
In 0.000 0.000 0.000 [1 per cell]
Mo 0.500 0.500 0.500 [1 per cell]
W 0.000 0.500 0.500 [3 per cell]

Energy relative to the lowest polymorph listed for this composition in meV per atom: 0
Calculated formation energy in eV per atom: 1.97

---

10.
This record from the Alexandria database describes an optimized crystal structure of InMo2W. The functional is GGA-PBE.

Cell: 4.000 4.000 8.484 Å, 90.00 90.00 90.00°
Space group I-4m2 (No. 119)
One atom of each set of equivalent atoms:
In 0.000 0.000 0.000 [2 per cell]
Mo 0.000 0.000 0.500 [2 per cell]
Mo 0.000 0.500 0.750 [2 per cell]
W 0.000 0.500 0.250 [2 per cell]

Calculated formation energy in eV per atom: 0.43

---

11.
This record from the Alexandria database describes an optimized crystal structure of InMo2W. The functional is GGA-PBE.

Cell: 3.324 3.324 6.275 Å, 90.00 90.00 90.00°
Space group P4/mmm (No. 123)
One atom of each set of equivalent atoms:
In 0.000 0.000 0.000 [1 per cell]
Mo 0.500 0.500 0.280 [2 per cell]
W 0.000 0.000 0.500 [1 per cell]

Calculated formation energy in eV per atom: 0.28

---

12.
This record from the Alexandria database describes an optimized crystal structure of InMo2W. The functional is GGA-PBE.

Cell: 3.281 4.552 9.112 Å, 90.00 90.00 90.00°
Space group Imm2 (No. 44)
One atom of each set of equivalent atoms:
In 0.000 0.000 0.000 [2 per cell]
Mo 0.000 0.000 0.502 [2 per cell]
Mo 0.000 0.500 0.765 [2 per cell]
W 0.000 0.500 0.234 [2 per cell]

Calculated formation energy in eV per atom: 0.29

---

Number 1: raw total energy -7.1122 eV per atom. Number 2: raw total energy -8.0717 eV per atom. Number 3: raw total energy -4.6075 eV per atom. Number 4: raw total energy -5.5457 eV per atom. Number 5: raw total energy -5.9358 eV per atom. Number 6: raw total energy -7.7479 eV per atom. Number 7: raw total energy -5.7089 eV per atom. Number 8: raw total energy -9.0121 eV per atom. Number 9: raw total energy -8.5201 eV per atom. Number 10: raw total energy -8.9130 eV per atom. Number 11: raw total energy -9.0634 eV per atom. Number 12: raw total energy -9.0481 eV per atom.